No. 1
Below is SrPmErMg after structural relaxation, with properties calculated at the PBE-GGA level. Values from VASP.

```
&SYSTEM
  ibrav = 0, nat = 4, ntyp = 4
/
ATOMIC_SPECIES
Pm 145.00 Pm.upf
Sr 87.62 Sr.upf
Mg 24.30 Mg.upf
Er 167.26 Er.upf
CELL_PARAMETERS angstrom
5.758 0.000 0.000
2.879 4.986 0.000
2.879 1.662 4.701
ATOMIC_POSITIONS crystal
Pm 0.250 0.250 0.250
Sr 0.750 0.750 0.750
Mg 0.000 0.000 0.000
Er 0.500 0.500 0.500
```

Calculated values
E_form: 0.55 eV/f.u.

=====

No. 2
Below is TbPm2Er2Mg5 after structural relaxation, with properties calculated at the PBE-GGA level. Values from VASP.

```
&SYSTEM
  ibrav = 0, nat = 20, ntyp = 4
/
ATOMIC_SPECIES
Pm 145.00 Pm.upf
Er 167.26 Er.upf
Mg 24.30 Mg.upf
Tb 158.93 Tb.upf
CELL_PARAMETERS angstrom
-4.723 1.289 1.335
-3.699 -4.243 -8.986
-1.166 -9.337 4.888
ATOMIC_POSITIONS crystal
Pm 0.000 0.677 0.177
Pm 0.000 0.823 0.677
Pm 0.000 0.177 0.323
Pm 0.000 0.323 0.823
Er 0.000 0.381 0.119
Er 0.000 0.619 0.881
Er 0.000 0.881 0.381
Er 0.000 0.119 0.619
Mg 0.500 0.070 0.801
Mg 0.500 0.430 0.301
Mg 0.500 0.199 0.070
Mg 0.500 0.699 0.430
Mg 0.500 0.930 0.199
Mg 0.500 0.301 0.570
Mg 0.500 0.570 0.699
Mg 0.500 0.000 0.500
Mg 0.500 0.801 0.930
Mg 0.500 0.500 0.000
Tb 0.000 0.500 0.500
Tb 0.000 0.000 0.000
```

Calculated values
E_form: 0.39 eV/f.u.

=====

No. 3
Below is Tb6Pm3Er2Mg after structural relaxation, with properties calculated at the PBE-GGA level. Values from VASP.

```
&SYSTEM
  ibrav = 0, nat = 12, ntyp = 4
/
ATOMIC_SPECIES
Pm 145.00 Pm.upf
Tb 158.93 Tb.upf
Er 167.26 Er.upf
Mg 24.30 Mg.upf
CELL_PARAMETERS angstrom
6.173 -0.004 0.007
-3.088 5.345 0.007
-1.050 -1.819 11.527
ATOMIC_POSITIONS crystal
Pm 0.834 0.166 0.500
Pm 0.166 0.834 0.500
Pm 0.500 0.500 0.500
Tb 0.252 0.252 0.754
Tb 0.748 0.748 0.246
Tb 0.587 0.919 0.756
Tb 0.413 0.081 0.244
Tb 0.081 0.413 0.244
Tb 0.919 0.587 0.756
Er 0.666 0.334 0.000
Er 0.334 0.666 0.000
Mg 0.000 0.000 0.000
```

Calculated values
E_form: 0.38 eV/f.u.

=====

No. 4
Below is TbPmErMg after structural relaxation, with properties calculated at the PBE-GGA level. Values from VASP.

```
&SYSTEM
  ibrav = 0, nat = 4, ntyp = 4
/
ATOMIC_SPECIES
Mg 24.30 Mg.upf
Pm 145.00 Pm.upf
Er 167.26 Er.upf
Tb 158.93 Tb.upf
CELL_PARAMETERS angstrom
5.532 0.000 0.000
2.766 4.791 0.000
2.766 1.597 4.517
ATOMIC_POSITIONS crystal
Mg 0.000 0.000 0.000
Pm 0.750 0.750 0.750
Er 0.500 0.500 0.500
Tb 0.250 0.250 0.250
```

Calculated values
energy relative to the lowest polymorph listed for this composition: 57 meV/atom
E_form: 0.12 eV/f.u.

=====

No. 5
Below is Tb3Pm6Er2Mg after structural relaxation, with properties calculated at the PBE-GGA level. Values from VASP.

```
&SYSTEM
  ibrav = 0, nat = 12, ntyp = 4
/
ATOMIC_SPECIES
Pm 145.00 Pm.upf
Mg 24.30 Mg.upf
Er 167.26 Er.upf
Tb 158.93 Tb.upf
CELL_PARAMETERS angstrom
-4.084 -1.953 -4.258
2.190 -3.964 4.256
-8.072 4.767 7.074
ATOMIC_POSITIONS crystal
Pm 0.749 0.749 0.248
Pm 0.414 0.081 0.247
Pm 0.251 0.251 0.752
Pm 0.081 0.414 0.247
Pm 0.586 0.919 0.753
Pm 0.919 0.586 0.753
Mg 0.000 0.000 0.000
Er 0.666 0.334 0.000
Er 0.334 0.666 0.000
Tb 0.833 0.167 0.500
Tb 0.167 0.833 0.500
Tb 0.500 0.500 0.500
```

Calculated values
E_form: 0.28 eV/f.u.

=====

No. 6
Below is Tb5Pm2ErMg after structural relaxation, with properties calculated at the PBE-GGA level. Values from VASP.

```
&SYSTEM
  ibrav = 0, nat = 18, ntyp = 4
/
ATOMIC_SPECIES
Mg 24.30 Mg.upf
Tb 158.93 Tb.upf
Er 167.26 Er.upf
Pm 145.00 Pm.upf
CELL_PARAMETERS angstrom
-2.891 4.509 -1.008
-6.408 -6.203 5.366
3.455 4.230 9.016
ATOMIC_POSITIONS crystal
Mg 0.595 0.190 0.007
Mg 0.405 0.810 0.507
Tb 0.289 0.578 0.310
Tb 0.711 0.422 0.810
Tb 0.289 0.579 0.707
Tb 0.986 0.971 0.508
Tb 0.381 0.763 0.008
Tb 0.500 0.000 0.258
Tb 0.619 0.237 0.508
Tb 0.500 0.000 0.758
Tb 0.014 0.029 0.008
Tb 0.711 0.421 0.207
Er 0.205 0.409 0.008
Er 0.795 0.591 0.508
Pm 0.885 0.769 0.219
Pm 0.115 0.230 0.298
Pm 0.115 0.231 0.719
Pm 0.885 0.770 0.798
```

Calculated values
E_form: 0.86 eV/f.u.

=====

No. 7
Below is Tb4Pm2ErMg after structural relaxation, with properties calculated at the PBE-GGA level. Values from VASP.

```
&SYSTEM
  ibrav = 0, nat = 8, ntyp = 4
/
ATOMIC_SPECIES
Tb 158.93 Tb.upf
Er 167.26 Er.upf
Mg 24.30 Mg.upf
Pm 145.00 Pm.upf
CELL_PARAMETERS angstrom
-4.234 2.503 -0.775
-2.058 -2.261 3.943
1.241 5.175 9.930
ATOMIC_POSITIONS crystal
Tb 0.000 0.251 0.249
Tb 0.000 0.749 0.751
Tb 0.500 0.750 0.249
Tb 0.500 0.250 0.751
Er 0.000 0.500 0.500
Mg 0.500 0.500 0.000
Pm 0.500 0.000 0.500
Pm 0.000 0.000 0.000
```

Calculated values
E_form: 0.19 eV/f.u.

=====

No. 8
Below is TbPm6Er2Mg after structural relaxation, with properties calculated at the PBE-GGA level. Values from VASP.

```
&SYSTEM
  ibrav = 0, nat = 20, ntyp = 4
/
ATOMIC_SPECIES
Pm 145.00 Pm.upf
Er 167.26 Er.upf
Tb 158.93 Tb.upf
Mg 24.30 Mg.upf
CELL_PARAMETERS angstrom
-8.843 -3.314 0.128
0.441 -0.013 -8.810
3.281 -7.091 4.095
ATOMIC_POSITIONS crystal
Pm 0.948 0.877 0.233
Pm 0.194 0.563 0.999
Pm 0.392 0.505 0.294
Pm 0.892 0.294 0.505
Pm 0.608 0.495 0.706
Pm 0.052 0.123 0.767
Pm 0.694 0.999 0.563
Pm 0.306 0.001 0.437
Pm 0.552 0.767 0.123
Pm 0.448 0.233 0.877
Pm 0.108 0.706 0.495
Pm 0.806 0.437 0.001
Er 0.553 0.201 0.302
Er 0.447 0.799 0.698
Er 0.947 0.698 0.799
Er 0.053 0.302 0.201
Tb 0.250 0.975 0.025
Tb 0.750 0.025 0.975
Mg 0.250 0.412 0.588
Mg 0.750 0.588 0.412
```

Calculated values
E_form: 1.20 eV/f.u.

=====

No. 9
Below is TbPm2Er4Mg after structural relaxation, with properties calculated at the PBE-GGA level. Values from VASP.

```
&SYSTEM
  ibrav = 0, nat = 8, ntyp = 4
/
ATOMIC_SPECIES
Er 167.26 Er.upf
Pm 145.00 Pm.upf
Mg 24.30 Mg.upf
Tb 158.93 Tb.upf
CELL_PARAMETERS angstrom
-4.646 1.026 1.352
1.338 -0.224 4.767
3.475 9.629 4.633
ATOMIC_POSITIONS crystal
Er 0.500 0.751 0.249
Er 0.000 0.749 0.751
Er 0.000 0.251 0.249
Er 0.500 0.249 0.751
Pm 0.000 0.000 0.000
Pm 0.500 0.000 0.500
Mg 0.500 0.500 0.000
Tb 0.000 0.500 0.500
```

Calculated values
E_form: 0.24 eV/f.u.

=====

No. 10
Below is Tb2Pm6Er3Mg after structural relaxation, with properties calculated at the PBE-GGA level. Values from VASP.

```
&SYSTEM
  ibrav = 0, nat = 12, ntyp = 4
/
ATOMIC_SPECIES
Er 167.26 Er.upf
Pm 145.00 Pm.upf
Tb 158.93 Tb.upf
Mg 24.30 Mg.upf
CELL_PARAMETERS angstrom
6.197 -0.001 0.001
-3.098 5.367 0.001
-1.035 -1.792 11.559
ATOMIC_POSITIONS crystal
Er 0.500 0.500 0.500
Er 0.834 0.166 0.500
Er 0.166 0.834 0.500
Pm 0.916 0.584 0.750
Pm 0.084 0.416 0.250
Pm 0.584 0.916 0.750
Pm 0.249 0.249 0.749
Pm 0.416 0.084 0.250
Pm 0.751 0.751 0.251
Tb 0.667 0.333 0.000
Tb 0.333 0.667 0.000
Mg 0.000 0.000 0.000
```

Calculated values
E_form: 0.23 eV/f.u.

=====

No. 11
Below is Tb2PmEr2Mg2 after structural relaxation, with properties calculated at the PBE-GGA level. Values from VASP.

```
&SYSTEM
  ibrav = 0, nat = 7, ntyp = 4
/
ATOMIC_SPECIES
Er 167.26 Er.upf
Tb 158.93 Tb.upf
Pm 145.00 Pm.upf
Mg 24.30 Mg.upf
CELL_PARAMETERS angstrom
-5.391 0.559 0.613
-3.340 -4.086 -1.377
-2.371 -4.118 7.171
ATOMIC_POSITIONS crystal
Er 0.572 0.572 0.284
Er 0.428 0.428 0.716
Tb 0.844 0.844 0.468
Tb 0.156 0.156 0.532
Pm 0.000 0.000 0.000
Mg 0.290 0.290 0.131
Mg 0.710 0.710 0.869
```

Calculated values
E_form: -0.21 eV/f.u.

=====

No. 12
Below is TbPmErMg after structural relaxation, with properties calculated at the PBE-GGA level. Values from VASP.

```
&SYSTEM
  ibrav = 0, nat = 4, ntyp = 4
/
ATOMIC_SPECIES
Er 167.26 Er.upf
Tb 158.93 Tb.upf
Mg 24.30 Mg.upf
Pm 145.00 Pm.upf
CELL_PARAMETERS angstrom
-1.158 2.344 -2.514
-0.743 -2.760 -2.232
-8.458 -0.498 3.432
ATOMIC_POSITIONS crystal
Er 0.500 0.500 0.343
Tb 0.500 0.500 0.800
Mg 0.000 0.000 0.568
Pm 0.000 0.000 0.073
```

Calculated values
energy relative to the lowest polymorph listed for this composition: 0 meV/atom
E_form: -0.11 eV/f.u.

=====

No. 13
Below is Tb6PmEr2Mg after structural relaxation, with properties calculated at the PBE-GGA level. Values from VASP.

```
&SYSTEM
  ibrav = 0, nat = 20, ntyp = 4
/
ATOMIC_SPECIES
Er 167.26 Er.upf
Tb 158.93 Tb.upf
Mg 24.30 Mg.upf
Pm 145.00 Pm.upf
CELL_PARAMETERS angstrom
-5.707 -0.299 3.361
-6.130 0.518 -8.915
2.670 -9.136 5.169
ATOMIC_POSITIONS crystal
Er 0.995 0.343 0.173
Er 0.495 0.173 0.343
Er 0.505 0.827 0.657
Er 0.005 0.657 0.827
Tb 0.041 0.070 0.784
Tb 0.480 0.480 0.313
Tb 0.959 0.930 0.216
Tb 0.020 0.687 0.520
Tb 0.980 0.313 0.480
Tb 0.459 0.216 0.930
Tb 0.286 0.915 0.430
Tb 0.520 0.520 0.687
Tb 0.714 0.085 0.570
Tb 0.214 0.570 0.085
Tb 0.786 0.430 0.915
Tb 0.541 0.784 0.070
Mg 0.750 0.708 0.292
Mg 0.250 0.292 0.708
Pm 0.750 0.012 0.988
Pm 0.250 0.988 0.012
```

Calculated values
E_form: 1.14 eV/f.u.

=====

No. 14
Below is Tb2Pm2ErMg after structural relaxation, with properties calculated at the PBE-GGA level. Values from VASP.

```
&SYSTEM
  ibrav = 0, nat = 12, ntyp = 4
/
ATOMIC_SPECIES
Mg 24.30 Mg.upf
Tb 158.93 Tb.upf
Er 167.26 Er.upf
Pm 145.00 Pm.upf
CELL_PARAMETERS angstrom
-4.945 -2.583 4.284
1.992 -5.740 -1.160
5.988 7.480 5.645
ATOMIC_POSITIONS crystal
Mg 0.632 0.250 0.000
Mg 0.368 0.750 0.000
Tb 0.289 0.244 0.329
Tb 0.959 0.256 0.671
Tb 0.041 0.744 0.329
Tb 0.711 0.756 0.671
Er 0.869 0.750 0.000
Er 0.131 0.250 0.000
Pm 0.459 0.247 0.666
Pm 0.792 0.253 0.334
Pm 0.541 0.753 0.334
Pm 0.208 0.747 0.666
```

Calculated values
E_form: 0.17 eV/f.u.

=====

No. 15
Below is PmErMgTc after structural relaxation, with properties calculated at the PBE-GGA level. Values from VASP.

```
&SYSTEM
  ibrav = 0, nat = 4, ntyp = 4
/
ATOMIC_SPECIES
Mg 24.30 Mg.upf
Er 167.26 Er.upf
Pm 145.00 Pm.upf
Tc 98.00 Tc.upf
CELL_PARAMETERS angstrom
5.073 0.000 0.000
2.537 4.393 0.000
2.537 1.464 4.142
ATOMIC_POSITIONS crystal
Mg 0.000 0.000 0.000
Er 0.750 0.750 0.750
Pm 0.250 0.250 0.250
Tc 0.500 0.500 0.500
```

Calculated values
E_form: 0.10 eV/f.u.

=====

No. 16
Below is Pm3Er3MgTe8 after structural relaxation, with properties calculated at the PBE-GGA level. Values from VASP.

```
&SYSTEM
  ibrav = 0, nat = 15, ntyp = 4
/
ATOMIC_SPECIES
Te 127.60 Te.upf
Pm 145.00 Pm.upf
Er 167.26 Er.upf
Mg 24.30 Mg.upf
CELL_PARAMETERS angstrom
-7.694 -4.030 0.748
7.385 -4.627 0.233
-2.082 5.232 6.768
ATOMIC_POSITIONS crystal
Te 0.245 0.491 0.737
Te 0.746 0.492 0.738
Te 0.254 0.508 0.262
Te 0.253 0.008 0.263
Te 0.747 0.992 0.737
Te 0.755 0.008 0.263
Te 0.245 0.992 0.737
Te 0.755 0.509 0.263
Pm 0.500 0.500 0.000
Pm 0.000 0.500 0.000
Pm 0.000 0.000 0.000
Er 0.500 0.000 0.500
Er 0.500 0.500 0.500
Er 0.000 0.500 0.500
Mg 0.000 0.000 0.500
```

Calculated values
E_tot: -74.1 eV/f.u.

=====

No. 17
Below is PmErMgTi after structural relaxation, with properties calculated at the PBE-GGA level. Values from VASP.

```
&SYSTEM
  ibrav = 0, nat = 4, ntyp = 4
/
ATOMIC_SPECIES
Ti 47.87 Ti.upf
Pm 145.00 Pm.upf
Er 167.26 Er.upf
Mg 24.30 Mg.upf
CELL_PARAMETERS angstrom
5.278 0.000 0.000
2.639 4.571 0.000
2.639 1.524 4.310
ATOMIC_POSITIONS crystal
Ti 0.250 0.250 0.250
Pm 0.000 0.000 0.000
Er 0.500 0.500 0.500
Mg 0.750 0.750 0.750
```

Calculated values
E_form: 0.58 eV/f.u.

=====

No. 18
Below is PmEr2MgTl4 after structural relaxation, with properties calculated at the PBE-GGA level. Values from VASP.

```
&SYSTEM
  ibrav = 0, nat = 8, ntyp = 4
/
ATOMIC_SPECIES
Tl 204.38 Tl.upf
Er 167.26 Er.upf
Pm 145.00 Pm.upf
Mg 24.30 Mg.upf
CELL_PARAMETERS angstrom
-3.207 2.379 -3.428
-0.077 -1.535 -5.033
-7.540 -5.656 -0.912
ATOMIC_POSITIONS crystal
Tl 0.378 0.378 0.866
Tl 0.874 0.874 0.377
Tl 0.126 0.126 0.623
Tl 0.622 0.622 0.134
Er 0.756 0.756 0.733
Er 0.244 0.244 0.267
Pm 0.000 0.000 0.000
Mg 0.500 0.500 0.500
```

Calculated values
E_form: -2.25 eV/f.u.

=====

No. 19
Below is PmErMgTl after structural relaxation, with properties calculated at the PBE-GGA level. Values from VASP.

```
&SYSTEM
  ibrav = 0, nat = 4, ntyp = 4
/
ATOMIC_SPECIES
Er 167.26 Er.upf
Tl 204.38 Tl.upf
Pm 145.00 Pm.upf
Mg 24.30 Mg.upf
CELL_PARAMETERS angstrom
-0.699 -5.243 -0.993
0.929 -1.953 -4.928
4.264 -3.164 -0.882
ATOMIC_POSITIONS crystal
Er 0.750 0.750 0.750
Tl 0.000 0.000 0.000
Pm 0.250 0.250 0.250
Mg 0.500 0.500 0.500
```

Calculated values
E_form: -0.94 eV/f.u.

=====

No. 20
Below is Pm2ErMgTl4 after structural relaxation, with properties calculated at the PBE-GGA level. Values from VASP.

```
&SYSTEM
  ibrav = 0, nat = 8, ntyp = 4
/
ATOMIC_SPECIES
Pm 145.00 Pm.upf
Tl 204.38 Tl.upf
Mg 24.30 Mg.upf
Er 167.26 Er.upf
CELL_PARAMETERS angstrom
-1.930 2.387 4.341
-0.251 -2.651 4.602
7.508 2.765 5.073
ATOMIC_POSITIONS crystal
Pm 0.242 0.242 0.274
Pm 0.758 0.758 0.726
Tl 0.878 0.878 0.366
Tl 0.122 0.122 0.634
Tl 0.373 0.373 0.880
Tl 0.627 0.627 0.120
Mg 0.500 0.500 0.500
Er 0.000 0.000 0.000
```

Calculated values
E_form: -2.46 eV/f.u.

=====

No. 21
Below is Pm2Er4TmMg after structural relaxation, with properties calculated at the PBE-GGA level. Values from VASP.

```
&SYSTEM
  ibrav = 0, nat = 8, ntyp = 4
/
ATOMIC_SPECIES
Er 167.26 Er.upf
Mg 24.30 Mg.upf
Tm 168.93 Tm.upf
Pm 145.00 Pm.upf
CELL_PARAMETERS angstrom
-4.925 0.353 0.020
-0.307 -4.418 2.215
0.049 0.052 11.195
ATOMIC_POSITIONS crystal
Er 0.000 0.250 0.250
Er 0.500 0.251 0.750
Er 0.000 0.750 0.750
Er 0.500 0.749 0.250
Mg 0.500 0.500 0.000
Tm 0.000 0.500 0.500
Pm 0.500 0.000 0.500
Pm 0.000 0.000 0.000
```

Calculated values
E_form: 0.25 eV/f.u.

=====

No. 22
Below is Pm6ErTm2Mg after structural relaxation, with properties calculated at the PBE-GGA level. Values from VASP.

```
&SYSTEM
  ibrav = 0, nat = 20, ntyp = 4
/
ATOMIC_SPECIES
Pm 145.00 Pm.upf
Tm 168.93 Tm.upf
Er 167.26 Er.upf
Mg 24.30 Mg.upf
CELL_PARAMETERS angstrom
8.991 -2.054 -2.132
0.885 8.537 -1.915
0.885 -2.230 8.461
ATOMIC_POSITIONS crystal
Pm 0.806 0.436 0.000
Pm 0.551 0.766 0.123
Pm 0.306 0.000 0.436
Pm 0.949 0.877 0.234
Pm 0.051 0.123 0.766
Pm 0.694 0.000 0.564
Pm 0.194 0.564 0.000
Pm 0.390 0.501 0.295
Pm 0.449 0.234 0.877
Pm 0.610 0.499 0.705
Pm 0.110 0.705 0.499
Pm 0.890 0.295 0.501
Tm 0.052 0.300 0.199
Tm 0.552 0.199 0.300
Tm 0.448 0.801 0.700
Tm 0.948 0.700 0.801
Er 0.750 0.024 0.976
Er 0.250 0.976 0.024
Mg 0.250 0.411 0.589
Mg 0.750 0.589 0.411
```

Calculated values
E_form: 1.21 eV/f.u.